Entry 1:
! CrMoPb2 | the Alexandria database | PBE | relaxed; values from VASP
&SYSTEM
  ibrav = 0, nat = 4, ntyp = 3
/
ATOMIC_SPECIES
Cr 52.00 Cr.upf
Mo 95.94 Mo.upf
Pb 207.20 Pb.upf
CELL_PARAMETERS angstrom
-1.603 2.386 5.806
1.603 -2.386 5.806
1.603 2.386 -5.806
ATOMIC_POSITIONS crystal
Cr 0.000 0.000 0.000
Mo 0.145 0.645 0.500
Pb 0.459 0.459 0.000
Pb 0.736 0.236 0.500
! Space group   Imm2
! Total DFT energy (no corrections)   -6.31 eV per atom

---

Entry 2:
! DyZr2Cu | the Alexandria database | PBE | relaxed; values from VASP
&SYSTEM
  ibrav = 0, nat = 4, ntyp = 3
/
ATOMIC_SPECIES
Dy 162.50 Dy.upf
Zr 91.22 Zr.upf
Cu 63.55 Cu.upf
CELL_PARAMETERS angstrom
1.567 0.905 10.784
-1.567 0.905 10.784
0.000 -1.809 10.784
ATOMIC_POSITIONS crystal
Dy 0.000 0.000 0.000
Zr 0.100 0.100 0.100
Zr 0.900 0.900 0.900
Cu 0.500 0.500 0.500
! Space group   R-3m
! Total DFT energy (no corrections)   -6.11 eV per atom

---

Entry 3:
! LiCuMo | the Alexandria database | PBE | relaxed; values from VASP
&SYSTEM
  ibrav = 0, nat = 3, ntyp = 3
/
ATOMIC_SPECIES
Li 6.94 Li.upf
Cu 63.55 Cu.upf
Mo 95.94 Mo.upf
CELL_PARAMETERS angstrom
0.000 2.898 2.898
2.898 0.000 2.898
2.898 2.898 0.000
ATOMIC_POSITIONS crystal
Li 0.000 0.000 0.000
Cu 0.500 0.500 0.500
Mo 0.250 0.250 0.250
! Space group   F-43m
! Total DFT energy (no corrections)   -4.37 eV per atom

---

Entry 4:
! LiTm2Ga5Tc2 | the Alexandria database | PBE | relaxed; values from VASP
&SYSTEM
  ibrav = 0, nat = 20, ntyp = 4
/
ATOMIC_SPECIES
Li 6.94 Li.upf
Tm 168.93 Tm.upf
Ga 69.72 Ga.upf
Tc 98.00 Tc.upf
CELL_PARAMETERS angstrom
10.120 0.000 0.000
0.000 10.120 0.000
0.000 0.000 3.503
ATOMIC_POSITIONS crystal
Li 0.000 0.000 0.000
Li 0.500 0.500 0.000
Tm 0.182 0.318 0.000
Tm 0.318 0.818 0.000
Tm 0.682 0.182 0.000
Tm 0.818 0.682 0.000
Ga 0.000 0.500 0.500
Ga 0.054 0.807 0.500
Ga 0.193 0.054 0.500
Ga 0.307 0.554 0.500
Ga 0.446 0.307 0.500
Ga 0.500 0.000 0.500
Ga 0.554 0.693 0.500
Ga 0.693 0.446 0.500
Ga 0.807 0.946 0.500
Ga 0.946 0.193 0.500
Tc 0.126 0.626 0.000
Tc 0.374 0.126 0.000
Tc 0.626 0.874 0.000
Tc 0.874 0.374 0.000
! Space group   P4/mbm
! Total DFT energy (no corrections)   -4.96 eV per atom

---

Entry 5:
! SrLa2NiHg | the Alexandria database | PBE | relaxed; values from VASP
&SYSTEM
  ibrav = 0, nat = 5, ntyp = 4
/
ATOMIC_SPECIES
Sr 87.62 Sr.upf
La 138.91 La.upf
Ni 58.69 Ni.upf
Hg 200.59 Hg.upf
CELL_PARAMETERS angstrom
5.333 0.000 0.000
0.000 5.333 0.000
0.000 0.000 5.966
ATOMIC_POSITIONS crystal
Sr 0.000 0.000 0.000
La 0.000 0.500 0.500
La 0.500 0.000 0.500
Ni 0.000 0.000 0.500
Hg 0.500 0.500 0.000
! Space group   P4/mmm
! Total DFT energy (no corrections)   -3.67 eV per atom

---

Entry 6:
! BaNd2Hg4 | the Alexandria database | PBE | relaxed; values from VASP
&SYSTEM
  ibrav = 0, nat = 7, ntyp = 3
/
ATOMIC_SPECIES
Ba 137.33 Ba.upf
Nd 144.24 Nd.upf
Hg 200.59 Hg.upf
CELL_PARAMETERS angstrom
5.483 0.000 0.000
0.000 5.483 0.000
0.000 0.000 7.566
ATOMIC_POSITIONS crystal
Ba 0.000 0.000 0.000
Nd 0.000 0.000 0.500
Nd 0.500 0.500 0.000
Hg 0.000 0.500 0.277
Hg 0.000 0.500 0.723
Hg 0.500 0.000 0.277
Hg 0.500 0.000 0.723
! Space group   P4/mmm
! Total DFT energy (no corrections)   -2.05 eV per atom

---

Entry 7:
! YEr4Sc5 | the Alexandria database | PBE | relaxed; values from VASP
&SYSTEM
  ibrav = 0, nat = 10, ntyp = 3
/
ATOMIC_SPECIES
Y 88.91 Y.upf
Er 167.26 Er.upf
Sc 44.96 Sc.upf
CELL_PARAMETERS angstrom
-4.851 4.851 3.018
4.851 -4.851 3.018
4.851 4.851 -3.018
ATOMIC_POSITIONS crystal
Y 0.000 0.000 0.000
Er 0.171 0.877 0.604
Er 0.273 0.567 0.396
Er 0.567 0.171 0.294
Er 0.877 0.273 0.706
Sc 0.462 0.462 0.000
Sc 0.484 0.857 0.912
Sc 0.572 0.484 0.627
Sc 0.857 0.945 0.373
Sc 0.945 0.572 0.088
! Space group   I4
! Total DFT energy (no corrections)   -5.33 eV per atom

---

Entry 8:
! BaMgIr | the Alexandria database | PBE | relaxed; values from VASP
&SYSTEM
  ibrav = 0, nat = 3, ntyp = 3
/
ATOMIC_SPECIES
Ba 137.33 Ba.upf
Mg 24.30 Mg.upf
Ir 192.22 Ir.upf
CELL_PARAMETERS angstrom
4.554 0.000 0.000
-2.277 3.944 0.000
0.000 0.000 4.677
ATOMIC_POSITIONS crystal
Ba 0.000 0.000 0.000
Mg 0.333 0.667 0.500
Ir 0.667 0.333 0.500
! Space group   P-6m2
! Total DFT energy (no corrections)   -4.17 eV per atom

---

Entry 9:
! Ho4AgSe3 | the Alexandria database | PBE | relaxed; values from VASP
&SYSTEM
  ibrav = 0, nat = 8, ntyp = 3
/
ATOMIC_SPECIES
Ho 164.93 Ho.upf
Ag 107.87 Ag.upf
Se 78.96 Se.upf
CELL_PARAMETERS angstrom
4.199 -5.804 0.000
4.199 5.804 0.000
0.000 0.000 3.988
ATOMIC_POSITIONS crystal
Ho 0.249 0.249 0.500
Ho 0.249 0.751 0.000
Ho 0.751 0.249 0.000
Ho 0.751 0.751 0.500
Ag 0.500 0.500 0.000
Se 0.000 0.000 0.000
Se 0.000 0.500 0.500
Se 0.500 0.000 0.500
! Uncorrected formation energy   -30.88 kcal/mol of atoms
! Space group   Cmmm

---

Entry 10:
! RbHgBrF2 | the Alexandria database | PBE | relaxed; values from VASP
&SYSTEM
  ibrav = 0, nat = 5, ntyp = 4
/
ATOMIC_SPECIES
Rb 85.47 Rb.upf
Hg 200.59 Hg.upf
Br 79.90 Br.upf
F 19.00 F.upf
CELL_PARAMETERS angstrom
4.756 0.000 0.000
0.000 4.756 0.000
0.000 0.000 5.475
ATOMIC_POSITIONS crystal
Rb 0.000 0.000 0.000
Hg 0.500 0.500 0.500
Br 0.500 0.500 0.000
F 0.000 0.500 0.500
F 0.500 0.000 0.500
! Uncorrected formation energy   -36.20 kcal/mol of atoms
! Space group   P4/mmm

---

Entry 11:
! AcTbBi2 | the Alexandria database | PBE | relaxed; values from VASP
&SYSTEM
  ibrav = 0, nat = 4, ntyp = 3
/
ATOMIC_SPECIES
Ac 227.00 Ac.upf
Tb 158.93 Tb.upf
Bi 208.98 Bi.upf
CELL_PARAMETERS angstrom
2.010 1.160 11.162
-2.010 1.160 11.162
0.000 -2.320 11.162
ATOMIC_POSITIONS crystal
Ac 0.000 0.000 0.000
Tb 0.500 0.500 0.500
Bi 0.100 0.100 0.100
Bi 0.900 0.900 0.900
! Space group   R-3m
! Total DFT energy (no corrections)   -4.32 eV per atom

---

Entry 12:
! SiSeN2F | the Alexandria database | PBE | relaxed; values from VASP
&SYSTEM
  ibrav = 0, nat = 5, ntyp = 4
/
ATOMIC_SPECIES
Si 28.09 Si.upf
Se 78.96 Se.upf
N 14.01 N.upf
F 19.00 F.upf
CELL_PARAMETERS angstrom
3.408 0.000 0.000
0.000 3.408 0.000
0.000 0.000 5.765
ATOMIC_POSITIONS crystal
Si 0.000 0.000 0.000
Se 0.000 0.000 0.500
N 0.000 0.500 0.000
N 0.500 0.000 0.000
F 0.500 0.500 0.500
! Uncorrected formation energy   8.89 kcal/mol of atoms
! Space group   P4/mmm

---

| no. | spin magnetization (μB/atom) |
| --- | --- |
| 1 | 0.150 |
| 2 | 0.000 |
| 3 | 0.132 |
| 4 | 0.000 |
| 5 | 0.002 |
| 6 | 0.000 |
| 7 | 0.001 |
| 8 | 0.000 |
| 9 | 0.000 |
| 10 | 0.000 |
| 11 | 0.000 |
| 12 | 0.000 |